A plane-wave DFT calculation with PBE was carried out for a relaxed structure of NaLi2TcOs.

Structure (CIF):
```
data_NaLi2TcOs
_cell_length_a 5.021
_cell_length_b 5.021
_cell_length_c 4.545
_cell_angle_alpha 90.00
_cell_angle_beta 90.00
_cell_angle_gamma 90.00
_space_group_name_H-M_alt 'P 1'
_space_group_IT_number 1
_space_group_name_Hall 'P 1'
loop_
_atom_site_label
_atom_site_fract_x
_atom_site_fract_y
_atom_site_fract_z
_atom_site_occupancy
Na1 0.000 0.000 0.000 1
Li1 0.000 0.500 0.500 1
Li2 0.500 0.000 0.500 1
Tc1 0.500 0.500 0.500 1
Os1 0.500 0.500 0.000 1
```

Summary:
* total DFT energy (no corrections): -4.339 eV per atom
* space-group type: P4/mmm (123)